La3ErTl3 | Alexandria via LeMat-Bulk | PBE | optimized geometry; magnetic moment = 0.0 μB per cell; DFT total energy = -4.073 eV per atom; energy of formation = -0.295 eV/atom; space-group type = No. 198
1.0
-8.602 -3.452 -2.799
2.940 -8.993 2.056
-3.333 0.977 9.038
La Er Tl
12 4 12
Direct
0.831 0.331 0.169
0.933 0.933 0.933
0.824 0.676 0.324
0.169 0.831 0.331
0.176 0.176 0.176
0.324 0.824 0.676
0.067 0.433 0.567
0.331 0.169 0.831
0.676 0.324 0.824
0.669 0.669 0.669
0.567 0.067 0.433
0.433 0.567 0.067
0.077 0.577 0.923
0.923 0.077 0.577
0.423 0.423 0.423
0.577 0.923 0.077
0.759 0.635 0.995
0.865 0.005 0.259
0.995 0.759 0.635
0.135 0.505 0.241
0.241 0.135 0.505
0.259 0.865 0.005
0.005 0.259 0.865
0.365 0.495 0.741
0.505 0.241 0.135
0.635 0.995 0.759
0.741 0.365 0.495
0.495 0.741 0.365